Entry 1:
A relaxed structure of Ba2CaCd, computed with PBE-GGA.

calculated formation energy	0.0573	eV/atom
theoretical density	3.70	Mg/m³
Fermi-level density of states	2.833	states/eV per cell
space-group type	I-42d, No. 122

The structure in CIF format:
```
data_Ba2CaCd
_cell_length_a 10.1872
_cell_length_b 10.1872
_cell_length_c 8.0950
_cell_angle_alpha 51.01
_cell_angle_beta 51.01
_cell_angle_gamma 90.00
_symmetry_space_group_name_H-M 'P 1'
_symmetry_Int_Tables_number 1
_symmetry_space_group_name_Hall 'P 1'
loop_
_atom_site_label
_atom_site_type_symbol
_atom_site_fract_x
_atom_site_fract_y
_atom_site_fract_z
Ca1 Ca 0.5000 0.5000 0.0000
Ca2 Ca 0.2500 0.7500 0.5000
Ba1 Ba 0.6760 0.1250 0.2500
Ba2 Ba 0.0740 0.6250 0.2500
Ba3 Ba 0.3750 0.3240 0.7500
Ba4 Ba 0.8750 0.9260 0.7500
Cd1 Cd 0.0000 0.0000 0.0000
Cd2 Cd 0.7500 0.2500 0.5000
```

=====

Entry 2:
A relaxed structure of Fe2NiHIr, computed with PBE-GGA.

theoretical density	11.54	Mg/m³
Fermi-level density of states	4.396	states/eV per cell
distance to the lowest polymorph of the same formula	0.023	eV/atom
space-group type	P4/mmm, No. 123

The structure in CIF format:
```
data_Fe2NiHIr
_cell_length_a 3.7378
_cell_length_b 3.7378
_cell_length_c 3.7463
_cell_angle_alpha 90.00
_cell_angle_beta 90.00
_cell_angle_gamma 90.00
_symmetry_space_group_name_H-M 'P 1'
_symmetry_Int_Tables_number 1
_symmetry_space_group_name_Hall 'P 1'
loop_
_atom_site_label
_atom_site_type_symbol
_atom_site_fract_x
_atom_site_fract_y
_atom_site_fract_z
Ni1 Ni 0.5000 0.5000 0.5000
Ir1 Ir 0.0000 0.0000 0.5000
Fe1 Fe 0.0000 0.5000 0.0000
Fe2 Fe 0.5000 0.0000 0.0000
H1 H 0.0000 0.0000 0.0000
```

=====

Entry 3:
A relaxed structure of YTa2VI, computed with PBE-GGA.

energy relative to the elements, uncorrected	1.941	eV/atom
theoretical density	7.76	Mg/m³
Fermi-level density of states	5.560	states/eV per cell
space-group type	P4/mmm, No. 123

The structure in CIF format:
```
data_YTa2VI
_cell_length_a 4.9997
_cell_length_b 5.3824
_cell_length_c 4.9997
_cell_angle_alpha 90.00
_cell_angle_beta 90.00
_cell_angle_gamma 90.00
_symmetry_space_group_name_H-M 'P 1'
_symmetry_Int_Tables_number 1
_symmetry_space_group_name_Hall 'P 1'
loop_
_atom_site_label
_atom_site_type_symbol
_atom_site_fract_x
_atom_site_fract_y
_atom_site_fract_z
I1 I 0.0000 0.0000 0.0000
Y1 Y 0.0000 0.5000 0.0000
V1 V 0.5000 0.5000 0.5000
Ta1 Ta 0.0000 0.0000 0.5000
Ta2 Ta 0.5000 0.0000 0.0000
```

=====

Entry 4:
A relaxed structure of PrHo3Tc, computed with PBE-GGA.

calculated formation energy	-0.0664	eV/atom
theoretical density	8.63	Mg/m³
Fermi-level density of states	9.705	states/eV per cell
distance to the lowest polymorph of the same formula	0.000	eV/atom
space-group type	P2_1/m, No. 11

The structure in CIF format:
```
data_PrHo3Tc
_cell_length_a 3.7985
_cell_length_b 8.6523
_cell_length_c 8.7743
_cell_angle_alpha 101.88
_cell_angle_beta 90.00
_cell_angle_gamma 90.00
_symmetry_space_group_name_H-M 'P 1'
_symmetry_Int_Tables_number 1
_symmetry_space_group_name_Hall 'P 1'
loop_
_atom_site_label
_atom_site_type_symbol
_atom_site_fract_x
_atom_site_fract_y
_atom_site_fract_z
Pr1 Pr 0.7500 0.3294 0.4872
Pr2 Pr 0.2500 0.6706 0.5128
Ho1 Ho 0.7500 0.5268 0.1623
Ho2 Ho 0.2500 0.1575 0.1090
Ho3 Ho 0.7500 0.9223 0.3148
Ho4 Ho 0.2500 0.4732 0.8377
Ho5 Ho 0.2500 0.0777 0.6852
Ho6 Ho 0.7500 0.8425 0.8910
Tc1 Tc 0.2500 0.7633 0.0983
Tc2 Tc 0.7500 0.2367 0.9017
```

=====

Entry 5:
A relaxed structure of Ti12CoAs6, computed with PBE-GGA.

calculated formation energy	-0.4638	eV/atom
theoretical density	5.21	Mg/m³
Fermi-level density of states	23.022	states/eV per cell
space-group type	R-3, No. 148

The structure in CIF format:
```
data_Ti12CoAs6
_cell_length_a 7.1381
_cell_length_b 7.1381
_cell_length_c 7.1381
_cell_angle_alpha 99.92
_cell_angle_beta 99.92
_cell_angle_gamma 99.92
_symmetry_space_group_name_H-M 'P 1'
_symmetry_Int_Tables_number 1
_symmetry_space_group_name_Hall 'P 1'
loop_
_atom_site_label
_atom_site_type_symbol
_atom_site_fract_x
_atom_site_fract_y
_atom_site_fract_z
Ti1 Ti 0.8165 0.5792 0.4395
Ti2 Ti 0.4395 0.8165 0.5792
Ti3 Ti 0.5792 0.4395 0.8165
Ti4 Ti 0.1835 0.4208 0.5605
Ti5 Ti 0.5605 0.1835 0.4208
Ti6 Ti 0.4208 0.5605 0.1835
Ti7 Ti 0.0596 0.9831 0.3197
Ti8 Ti 0.0169 0.6803 0.9404
Ti9 Ti 0.6803 0.9404 0.0169
Ti10 Ti 0.9404 0.0169 0.6803
Ti11 Ti 0.9831 0.3197 0.0596
Ti12 Ti 0.3197 0.0596 0.9831
Co1 Co 0.0000 0.0000 0.0000
As1 As 0.6872 0.8702 0.3588
As2 As 0.6412 0.3128 0.1298
As3 As 0.1298 0.6412 0.3128
As4 As 0.3128 0.1298 0.6412
As5 As 0.3588 0.6872 0.8702
As6 As 0.8702 0.3588 0.6872
```

=====

Entry 6:
A relaxed structure of NaMnC2S, computed with PBE-GGA.

energy relative to the elements, uncorrected	1.320	eV/atom
theoretical density	2.42	Mg/m³
Fermi-level density of states	2.371	states/eV per cell
space-group type	P4/mmm, No. 123

The structure in CIF format:
```
data_NaMnC2S
_cell_length_a 3.6564
_cell_length_b 6.8833
_cell_length_c 3.6564
_cell_angle_alpha 90.00
_cell_angle_beta 90.00
_cell_angle_gamma 90.00
_symmetry_space_group_name_H-M 'P 1'
_symmetry_Int_Tables_number 1
_symmetry_space_group_name_Hall 'P 1'
loop_
_atom_site_label
_atom_site_type_symbol
_atom_site_fract_x
_atom_site_fract_y
_atom_site_fract_z
Na1 Na 0.0000 0.5000 0.0000
S1 S 0.5000 0.5000 0.5000
Mn1 Mn 0.0000 0.0000 0.0000
C1 C 0.0000 0.0000 0.5000
C2 C 0.5000 0.0000 0.0000
```